1.
Below is crystalline CdAs2SBr at its relaxed geometry, with properties calculated at the PBE level.

* offset from the most stable computed form: 0 meV per atom

Cell: 4.888 4.888 5.291 Å, 90.00 90.00 90.00°
Space group P4/mmm (No. 123)
Asymmetric unit:
Cd 0.000 0.000 0.000 x1
As 0.000 0.500 0.500 x2
S 0.500 0.500 0.500 x1
Br 0.500 0.500 0.000 x1

2.
Below is crystalline CdAsS2Br at its relaxed geometry, with properties calculated at the PBE level.

* total DFT energy (no corrections): -10.6 eV/cell

Cell: 4.949 4.949 5.119 Å, 90.00 90.00 90.00°
Space group P4/mmm (No. 123)
Asymmetric unit:
Cd 0.000 0.000 0.000 x1
As 0.500 0.500 0.000 x1
S 0.000 0.500 0.500 x2
Br 0.500 0.500 0.500 x1

3.
Below is crystalline Cd4AsSBr2 at its relaxed geometry, with properties calculated at the PBE level.

* total DFT energy (no corrections): -38.0 eV/cell

Cell: 9.677 7.399 7.199 Å, 90.00 90.00 90.00°
Space group Pmn2_1 (No. 31)
Asymmetric unit:
Cd 0.000 0.096 0.000 x2
Cd 0.000 0.892 0.500 x2
Cd 0.249 0.680 0.080 x4
As 0.000 0.207 0.658 x2
S 0.000 0.787 0.161 x2
Br 0.249 0.292 0.155 x4

| no. | density of states at the Fermi level (states/eV/cell) |
| --- | --- |
| 1 | 3.393 |
| 2 | 6.171 |
| 3 | 2.219 |